Entry 1:
Material: MnHg2Cl
Method: DFT, GGA-PBE
State: optimized geometry

Calculated values
- Density: 8.4 g/cm3
- Excess energy over the best structure of this formula in the dataset: 42.75 kJ per mole of atoms
- DOS at the Fermi energy: 8.0 states/eV per cell
- Volume: 389.36 Å³ per cell
- Total DFT energy (no corrections): -2.635 eV/atom
- Uncorrected formation energy: 0.27 eV per atom

a b c (Å): 7.3022 7.3022 7.3022
angles (deg): 90.00 90.00 90.00
Space group Fm-3m (No. 225)
Symmetry-distinct sites (fractional):
Mn (0.0000, 0.0000, 0.0000) (multiplicity 4)
Hg (0.2500, 0.2500, 0.2500) (multiplicity 8)
Cl (0.0000, 0.0000, 0.5000) (multiplicity 4)

***

Entry 2:
Material: InIrAu2
Method: DFT, GGA-PBE
State: optimized geometry

Calculated values
- Density: 16.4 g/cm3
- DOS at the Fermi energy: 6.7 states/eV per cell
- Volume: 142.16 Å³ per cell
- Total DFT energy (no corrections): -4.388 eV/atom
- Formation enthalpy at 0 K: 0.150 eV per atom

a b c (Å): 4.1133 4.1133 8.4020
angles (deg): 90.00 90.00 90.00
Space group I4/mmm (No. 139)
Symmetry-distinct sites (fractional):
In (0.0000, 0.0000, 0.0000) (multiplicity 2)
Ir (0.0000, 0.0000, 0.5000) (multiplicity 2)
Au (0.0000, 0.5000, 0.2500) (multiplicity 4)

***

Entry 3:
Material: Li2CdCo
Method: DFT, GGA-PBE
State: optimized geometry

Calculated values
- Density: 5.2 g/cm3
- DOS at the Fermi energy: 5.5 states/eV per cell
- Volume: 58.63 Å³ per cell
- Total DFT energy (no corrections): -2.773 eV/atom
- Formation enthalpy at 0 K: 0.189 eV per atom

a b c (Å): 3.1351 3.1351 5.9650
angles (deg): 90.00 90.00 90.00
Space group P4/mmm (No. 123)
Symmetry-distinct sites (fractional):
Li (0.0000, 0.0000, 0.2178) (multiplicity 2)
Cd (0.5000, 0.5000, 0.5000) (multiplicity 1)
Co (0.5000, 0.5000, 0.0000) (multiplicity 1)

***

Entry 4:
Material: MgZrP2S
Method: DFT, GGA-PBE
State: optimized geometry

Calculated values
- Density: 3.4 g/cm3
- Excess energy over the best structure of this formula in the dataset: 40.61 kJ per mole of atoms
- DOS at the Fermi energy: 3.9 states/eV per cell
- Volume: 101.80 Å³ per cell
- Total DFT energy (no corrections): -4.645 eV/atom
- Uncorrected formation energy: 0.37 eV per atom

a b c (Å): 4.6435 4.6435 4.7210
angles (deg): 90.00 90.00 90.00
Space group P4/mmm (No. 123)
Symmetry-distinct sites (fractional):
Mg (0.0000, 0.0000, 0.0000) (multiplicity 1)
Zr (0.5000, 0.5000, 0.5000) (multiplicity 1)
P (0.0000, 0.5000, 0.0000) (multiplicity 2)
S (0.0000, 0.0000, 0.5000) (multiplicity 1)

***

Entry 5:
Material: CaGaSn3
Method: DFT, GGA-PBE
State: optimized geometry

Calculated values
- Density: 5.0 g/cm3
- Excess energy over the best structure of this formula in the dataset: 0.00 kJ per mole of atoms
- DOS at the Fermi energy: 3.1 states/eV per cell
- Volume: 156.23 Å³ per cell
- Total DFT energy (no corrections): -3.328 eV/atom
- Formation enthalpy at 0 K: 0.080 eV per atom

a b c (Å): 5.3858 5.3858 5.3858
angles (deg): 90.00 90.00 90.00
Space group Pm-3m (No. 221)
Symmetry-distinct sites (fractional):
Ca (0.0000, 0.0000, 0.0000) (multiplicity 1)
Ga (0.5000, 0.5000, 0.5000) (multiplicity 1)
Sn (0.0000, 0.5000, 0.5000) (multiplicity 3)

***

Entry 6:
Material: RbBSeBr2
Method: DFT, GGA-PBE
State: optimized geometry

Calculated values
- Density: 2.1 g/cm3
- Excess energy over the best structure of this formula in the dataset: 119.07 kJ per mole of atoms
- DOS at the Fermi energy: 6.6 states/eV per cell
- Volume: 263.05 Å³ per cell
- Total DFT energy (no corrections): -1.783 eV/atom
- Uncorrected formation energy: 1.11 eV per atom

a b c (Å): 6.4368 6.4368 6.3489
angles (deg): 90.00 90.00 90.00
Space group P4/mmm (No. 123)
Symmetry-distinct sites (fractional):
Rb (0.0000, 0.0000, 0.0000) (multiplicity 1)
B (0.5000, 0.5000, 0.5000) (multiplicity 1)
Se (0.0000, 0.0000, 0.5000) (multiplicity 1)
Br (0.0000, 0.5000, 0.0000) (multiplicity 2)

***

Entry 7:
Material: BiSeO
Method: DFT, GGA-PBE
State: optimized geometry

Calculated values
- Density: 6.7 g/cm3
- Excess energy over the best structure of this formula in the dataset: 40.33 kJ per mole of atoms
- DOS at the Fermi energy: 2.2 states/eV per cell
- Volume: 75.87 Å³ per cell
- Total DFT energy (no corrections): -4.476 eV/atom
- Uncorrected formation energy: -0.37 eV per atom

a b c (Å): 3.6206 3.6206 6.6830
angles (deg): 90.00 90.00 120.00
Space group P3m1 (No. 156)
Symmetry-distinct sites (fractional):
Bi (0.0000, 0.0000, 0.0000) (multiplicity 1)
Se (0.3333, 0.6667, 0.3526) (multiplicity 1)
O (0.6667, 0.3333, 0.8634) (multiplicity 1)

***

Entry 8:
Material: Na6Tl8Cd
Method: DFT, GGA-PBE
State: optimized geometry

Calculated values
- Density: 7.4 g/cm3
- DOS at the Fermi energy: 5.2 states/eV per cell
- Volume: 425.46 Å³ per cell
- Total DFT energy (no corrections): -1.945 eV/atom
- Formation enthalpy at 0 K: -0.095 eV per atom

a b c (Å): 5.7774 8.9214 9.2314
angles (deg): 95.86 108.21 105.89
Space group P-1 (No. 2)
Symmetry-distinct sites (fractional):
Na (0.0280, 0.3275, 0.0611) (multiplicity 2)
Na (0.3089, 0.0041, 0.6080) (multiplicity 2)
Na (0.3548, 0.6600, 0.7279) (multiplicity 2)
Tl (0.0966, 0.0022, 0.1954) (multiplicity 2)
Tl (0.1605, 0.6672, 0.3331) (multiplicity 2)
Tl (0.2436, 0.3304, 0.4673) (multiplicity 2)
Tl (0.4363, 0.3308, 0.8674) (multiplicity 2)
Cd (0.5000, 0.0000, 0.0000) (multiplicity 1)

***

Entry 9:
Material: Th4BiAu
Method: DFT, GGA-PBE
State: optimized geometry

Calculated values
- Density: 12.1 g/cm3
- Excess energy over the best structure of this formula in the dataset: 0.00 kJ per mole of atoms
- DOS at the Fermi energy: 14.1 states/eV per cell
- Volume: 366.02 Å³ per cell
- Total DFT energy (no corrections): -6.507 eV/atom
- Formation enthalpy at 0 K: -0.367 eV per atom

a b c (Å): 7.6377 7.6377 6.2744
angles (deg): 90.00 90.00 90.00
Space group P4/mcc (No. 124)
Symmetry-distinct sites (fractional):
Th (0.1448, 0.3353, 0.0000) (multiplicity 8)
Bi (0.5000, 0.5000, 0.2500) (multiplicity 2)
Au (0.0000, 0.0000, 0.2500) (multiplicity 2)

***

Entry 10:
Material: Al3Ir
Method: DFT, GGA-PBE
State: optimized geometry

Calculated values
- Density: 7.8 g/cm3
- DOS at the Fermi energy: 2.9 states/eV per cell
- Volume: 116.65 Å³ per cell
- Total DFT energy (no corrections): -5.514 eV/atom
- Formation enthalpy at 0 K: -0.492 eV per atom

a b c (Å): 5.4464 5.4464 4.5409
angles (deg): 90.00 90.00 120.00
Space group P6_3/mmc (No. 194)
Symmetry-distinct sites (fractional):
Al (0.1698, 0.3397, 0.2500) (multiplicity 6)
Ir (0.3333, 0.6667, 0.7500) (multiplicity 2)

***

Entry 11:
Material: KNa2ReO4
Method: DFT, GGA-PBE
State: optimized geometry

Calculated values
- Density: 4.2 g/cm3
- DOS at the Fermi energy: 0.0 states/eV per cell
- Volume: 263.02 Å³ per cell
- Total DFT energy (no corrections): -6.127 eV/atom
- Uncorrected formation energy: -1.62 eV per atom

a b c (Å): 5.8179 5.8179 7.7707
angles (deg): 90.00 90.00 90.00
Space group I-4 (No. 82)
Symmetry-distinct sites (fractional):
K (0.0000, 0.0000, 0.0000) (multiplicity 2)
Na (0.0000, 0.0000, 0.5000) (multiplicity 2)
Na (0.0000, 0.5000, 0.7500) (multiplicity 2)
Re (0.0000, 0.5000, 0.2500) (multiplicity 2)
O (0.1845, 0.7451, 0.3079) (multiplicity 8)

***

The lowest volume belongs to which entry? Li2CdCo

***

Among the records above, which one has the highest total DFT energy (no corrections)? RbBSeBr2

***

Among the records above, which one has the highest total DFT energy (no corrections)? RbBSeBr2

***

What is the formula in the fourth record? MgZrP2S